(1)
The following is a PBE-GGA calculation of a relaxed structure of Tl2PbSe2, from Alexandria via LeMat-Bulk.

Formation energy (no corrections) (kcal/mol of atoms): -1.6
Fermi-level density of states (states/eV/cell): 6.099
E (eV/cell): -31.5

```
Tl2PbSe2
1.0
8.523 0.000 0.000
0.000 8.523 0.000
0.000 0.000 3.987
Tl Pb Se
4 2 4
Direct
0.126 0.374 0.000
0.374 0.874 0.000
0.626 0.126 0.000
0.874 0.626 0.000
0.000 0.000 0.000
0.500 0.500 0.000
0.188 0.688 0.500
0.312 0.188 0.500
0.688 0.812 0.500
0.812 0.312 0.500
```


(2)
The following is a PBE-GGA calculation of a relaxed structure of Nd2Ho3Al, from Alexandria via LeMat-Bulk.

Fermi-level density of states (states/eV/cell): 7.139
E (eV/cell): -27.5

```
Nd2Ho3Al
1.0
2.412 -7.518 0.000
2.412 7.518 0.000
0.000 0.000 4.880
Nd Ho Al
2 3 1
Direct
0.159 0.841 0.000
0.841 0.159 0.000
0.000 0.000 0.500
0.339 0.661 0.500
0.661 0.339 0.500
0.500 0.500 0.000
```


(3)
The following is a PBE-GGA calculation of a relaxed structure of KAc2CuO5, from Alexandria via LeMat-Bulk.

Formation energy (no corrections) (kcal/mol of atoms): -52.6
E (eV/cell): -117.4

```
KAc2CuO5
1.0
7.163 0.000 0.000
0.000 7.163 0.000
0.000 0.000 5.784
K Ac Cu O
2 4 2 10
Direct
0.000 0.000 0.000
0.500 0.500 0.000
0.182 0.318 0.500
0.318 0.818 0.500
0.682 0.182 0.500
0.818 0.682 0.500
0.000 0.500 0.000
0.500 0.000 0.000
0.000 0.000 0.500
0.126 0.626 0.235
0.126 0.626 0.765
0.374 0.126 0.235
0.374 0.126 0.765
0.500 0.500 0.500
0.626 0.874 0.235
0.626 0.874 0.765
0.874 0.374 0.235
0.874 0.374 0.765
```


(4)
The following is a PBE-GGA calculation of a relaxed structure of Cd2Ag2Cl, from Alexandria via LeMat-Bulk.

Formation energy (no corrections) (kcal/mol of atoms): -2.2
Fermi-level density of states (states/eV/cell): 2.585
E (eV/cell): -9.9

```
Cd2Ag2Cl
1.0
-1.973 1.973 7.350
1.973 -1.973 7.350
1.973 1.973 -7.350
Cd Ag Cl
2 2 1
Direct
0.100 0.100 0.000
0.900 0.900 0.000
0.250 0.750 0.500
0.750 0.250 0.500
0.500 0.500 0.000
```


(5)
The following is a PBE-GGA calculation of a relaxed structure of PaTaN4, from Alexandria via LeMat-Bulk.

Formation energy (no corrections) (kcal/mol of atoms): -18.0
Fermi-level density of states (states/eV/cell): 7.144
E (eV/cell): -118.7

```
PaTaN4
1.0
5.392 0.000 0.000
0.000 5.392 0.000
0.000 0.000 5.124
Pa Ta N
2 2 8
Direct
0.250 0.250 0.000
0.750 0.750 0.000
0.250 0.750 0.500
0.750 0.250 0.500
0.043 0.543 0.259
0.043 0.957 0.741
0.457 0.543 0.741
0.457 0.957 0.259
0.543 0.043 0.741
0.543 0.457 0.259
0.957 0.043 0.259
0.957 0.457 0.741
```


(6)
The following is a PBE-GGA calculation of a relaxed structure of Y2ScZnH, from Alexandria via LeMat-Bulk.

Fermi-level density of states (states/eV/cell): 4.283
E (eV/cell): -24.8

```
Y2ScZnH
1.0
4.819 0.000 0.000
0.000 4.819 0.000
0.000 0.000 4.398
Y Sc Zn H
2 1 1 1
Direct
0.000 0.500 0.000
0.500 0.000 0.000
0.000 0.000 0.500
0.500 0.500 0.500
0.000 0.000 0.000
```


(7)
The following is a PBE-GGA calculation of a relaxed structure of BeFeCu2, from Alexandria via LeMat-Bulk.

Fermi-level density of states (states/eV/cell): 3.087
E (eV/cell): -19.8

```
BeFeCu2
1.0
2.513 -3.581 0.000
2.513 3.581 0.000
0.000 0.000 2.467
Be Fe Cu
1 1 2
Direct
0.000 0.000 0.000
0.500 0.500 0.000
0.000 0.500 0.500
0.500 0.000 0.500
```


(8)
The following is a PBE-GGA calculation of a relaxed structure of ScCS2, from Alexandria via LeMat-Bulk.

Formation energy (no corrections) (kcal/mol of atoms): 7.6
Fermi-level density of states (states/eV/cell): 7.235
E (eV/cell): -45.0

```
ScCS2
1.0
-2.591 2.591 5.346
2.591 -2.591 5.346
2.591 2.591 -5.346
Sc C S
2 2 4
Direct
0.000 0.000 0.000
0.750 0.250 0.500
0.250 0.750 0.500
0.500 0.500 0.000
0.202 0.625 0.077
0.375 0.452 0.577
0.548 0.125 0.923
0.875 0.798 0.423
```


(9)
The following is a PBE-GGA calculation of a relaxed structure of TaV3Tc, from Alexandria via LeMat-Bulk.

Fermi-level density of states (states/eV/cell): 6.529
E (eV/cell): -44.0

```
TaV3Tc
1.0
4.475 0.000 0.000
0.000 4.475 0.000
0.000 0.000 4.475
Ta V Tc
1 3 1
Direct
0.000 0.000 0.000
0.000 0.500 0.500
0.500 0.000 0.500
0.500 0.500 0.000
0.500 0.500 0.500
```